(1)
# CaDy2PuSb4 (GGA-PBE, optimized geometry)
data_CaDy2PuSb4
_symmetry_space_group_name_H-M 'P 1 2/m 1'
_symmetry_Int_Tables_number 10
_symmetry_space_group_name_Hall '-P 2y'
_cell_length_a 7.6379
_cell_length_b 4.4299
_cell_length_c 7.6916
_cell_angle_alpha 90.00
_cell_angle_beta 109.21
_cell_angle_gamma 90.00
loop_
_atom_site_label
_atom_site_type_symbol
_atom_site_fract_x
_atom_site_fract_y
_atom_site_fract_z
Ca1 Ca 0.0000 0.0000 0.0000
Dy1 Dy 0.0000 0.5000 0.5000
Dy2 Dy 0.5000 0.0000 0.5000
Pu1 Pu 0.5000 0.5000 0.0000
Sb1 Sb 0.2529 0.0000 0.7467
Sb2 Sb 0.2572 0.5000 0.2560
# Total moment: 4.598 Bohr magnetons per cell
# Fermi-level density of states: 2.177 states/eV per atom
# Formation energy from raw total energies: -0.903 eV per atom

***

(2)
# Tb2HoEr2Mg2 (GGA-PBE, optimized geometry)
data_Tb2HoEr2Mg2
_symmetry_space_group_name_H-M 'R -3 m'
_symmetry_Int_Tables_number 166
_symmetry_space_group_name_Hall '-R 3 2"'
_cell_length_a 5.4200
_cell_length_b 5.4200
_cell_length_c 23.8845
_cell_angle_alpha 90.00
_cell_angle_beta 90.00
_cell_angle_gamma 120.00
loop_
_atom_site_label
_atom_site_type_symbol
_atom_site_fract_x
_atom_site_fract_y
_atom_site_fract_z
Tb1 Tb 0.0000 0.0000 0.0734
Ho1 Ho 0.0000 0.0000 0.5000
Er1 Er 0.0000 0.0000 0.3458
Mg1 Mg 0.0000 0.0000 0.2113
# Total moment: 0.000 Bohr magnetons per cell
# Fermi-level density of states: 1.256 states/eV per atom
# ΔH_f (0 K): -0.45 kcal/mol of atoms

***

(3)
# Sc2BeNi (GGA-PBE, optimized geometry)
data_Sc2BeNi
_symmetry_space_group_name_H-M 'R -3 m'
_symmetry_Int_Tables_number 166
_symmetry_space_group_name_Hall '-R 3 2"'
_cell_length_a 3.2501
_cell_length_b 3.2501
_cell_length_c 22.8869
_cell_angle_alpha 90.00
_cell_angle_beta 90.00
_cell_angle_gamma 120.00
loop_
_atom_site_label
_atom_site_type_symbol
_atom_site_fract_x
_atom_site_fract_y
_atom_site_fract_z
Sc1 Sc 0.0000 0.0000 0.2471
Be1 Be 0.0000 0.0000 0.0000
Ni1 Ni 0.0000 0.0000 0.5000
# Total moment: 0.000 Bohr magnetons per cell
# Fermi-level density of states: 0.511 states/eV per atom
# ΔH_f (0 K): 1.74 kcal/mol of atoms